1.
VASP calculation (GGA-PBE) on crystalline K2LiTe2 at its relaxed geometry.

The value obtained for the energy above the most stable polymorph in this dataset is 334 meV/atom. The calculation puts the density at 3141 kg/m3. The value obtained for the volume is 35.98 Å³ per atom. The value obtained for the uncorrected formation energy is -2.990 eV per formula unit. Its density of states at the Fermi level is 0.8 states/eV/f.u.

a = 9.8274 Å, b = 9.8274 Å, c = 3.7257 Å
α = 90.00°, β = 90.00°, γ = 90.00°
With the nearest neighbours (Å) after each atom.
Space group P4/mbm (No. 127)
Inequivalent atoms, fractional coordinates:
1 K 0.1203 0.3797 0.0000 [4 per cell]  3 K 3.34-3.73, 6 Te 3.35-3.53
2 Li 0.0000 0.0000 0.0000 [2 per cell]  2 Li 3.73, 4 K 3.91, 8 Te 4.06
3 Te 0.1794 0.6794 0.5000 [4 per cell]  6 K 3.35-3.53, 2 Te 3.73

---

2.
VASP calculation (GGA-PBE) on crystalline K2LiTe at its relaxed geometry.

The calculation puts the density at 2438 kg/m3. The value obtained for the volume is 36.22 Å³ per atom. The value obtained for the uncorrected formation energy is -1.777 eV per formula unit. Its density of states at the Fermi level is 2.1 states/eV/f.u.

a = 5.2032 Å, b = 5.2032 Å, c = 10.7031 Å
α = 90.00°, β = 90.00°, γ = 90.00°
With the nearest neighbours (Å) after each atom.
Space group I-4m2 (No. 119)
Inequivalent atoms, fractional coordinates:
1 K 0.0000 0.0000 0.0000 [2 per cell]  4 Te 3.68, 4 Li 3.73, 4 K 3.73
2 K 0.0000 0.5000 0.2500 [2 per cell]  4 Li 3.68, 4 K 3.73, 4 Te 3.73
3 Li 0.0000 0.5000 0.7500 [2 per cell]  8 K 3.68-3.73, 4 Te 3.73
4 Te 0.0000 0.0000 0.5000 [2 per cell]  8 K 3.68-3.73, 4 Li 3.73

---

3.
VASP calculation (GGA-PBE) on crystalline K2LiTe at its relaxed geometry.

The calculation puts the density at 2499 kg/m3. The value obtained for the volume is 35.34 Å³ per atom. The value obtained for the uncorrected formation energy is -1.987 eV per formula unit. Its density of states at the Fermi level is 1.2 states/eV/f.u.

a = 7.4575 Å, b = 7.5159 Å, c = 5.0439 Å
α = 90.00°, β = 90.00°, γ = 90.00°
With the nearest neighbours (Å) after each atom.
Space group Cmmm (No. 65)
Inequivalent atoms, fractional coordinates:
1 K 0.2500 0.2500 0.0000 [4 per cell]  4 Li 3.66, 4 Te 3.66, 4 K 3.73-3.76
2 Li 0.0000 0.0000 0.5000 [2 per cell]  8 K 3.66, 4 Te 3.73-3.76
3 Te 0.0000 0.5000 0.5000 [2 per cell]  8 K 3.66, 4 Li 3.73-3.76

---

4.
VASP calculation (GGA-PBE) on crystalline KLi3Te at its relaxed geometry.

The value obtained for the energy above the most stable polymorph in this dataset is 0 meV/atom. The calculation puts the density at 1912 kg/m3. The value obtained for the volume is 32.58 Å³ per atom. The value obtained for the uncorrected formation energy is -1.940 eV per formula unit. Its density of states at the Fermi level is 1.1 states/eV/f.u.

a = 5.4614 Å, b = 5.4614 Å, c = 5.4614 Å
α = 90.00°, β = 90.00°, γ = 90.00°
With the nearest neighbours (Å) after each atom.
Space group Pm-3m (No. 221)
Inequivalent atoms, fractional coordinates:
1 K 0.0000 0.0000 0.0000 [1 per cell]  12 Li 3.86
2 Li 0.0000 0.5000 0.5000 [3 per cell]  2 Te 2.73
3 Te 0.5000 0.5000 0.5000 [1 per cell]  6 Li 2.73

---

5.
VASP calculation (GGA-PBE) on crystalline KLi2Te2 at its relaxed geometry.

The value obtained for the energy above the most stable polymorph in this dataset is 0 meV/atom. The calculation puts the density at 3587 kg/m3. The value obtained for the volume is 28.54 Å³ per atom. The value obtained for the uncorrected formation energy is -4.427 eV per formula unit. Its density of states at the Fermi level is 3.2 states/eV/f.u.

a = 4.7508 Å, b = 4.7508 Å, c = 12.6439 Å
α = 90.00°, β = 90.00°, γ = 90.00°
With the nearest neighbours (Å) after each atom.
Space group I4/mmm (No. 139)
Inequivalent atoms, fractional coordinates:
1 K 0.0000 0.0000 0.0000 [2 per cell]  8 Te 3.76, 8 Li 3.95
2 Li 0.0000 0.5000 0.2500 [4 per cell]  4 Te 2.80
3 Te 0.0000 0.0000 0.3666 [4 per cell]  4 Li 2.80

---

6.
VASP calculation (GGA-PBE) on crystalline KLiTe2 at its relaxed geometry.

The value obtained for the energy above the most stable polymorph in this dataset is 227 meV/atom. The calculation puts the density at 3893 kg/m3. The value obtained for the volume is 32.12 Å³ per atom. The value obtained for the uncorrected formation energy is -2.265 eV per formula unit. Its density of states at the Fermi level is 1.8 states/eV/f.u.

a = 3.6028 Å, b = 3.6028 Å, c = 9.8997 Å
α = 90.00°, β = 90.00°, γ = 90.00°
With the nearest neighbours (Å) after each atom.
Space group P4mm (No. 99)
Inequivalent atoms, fractional coordinates:
1 K 0.0000 0.0000 0.0000 [1 per cell]  5 Te 3.36-3.47, 4 K 3.60
2 Li 0.5000 0.5000 0.4820 [1 per cell]  5 Te 2.77-2.91
3 Te 0.0000 0.0000 0.3397 [1 per cell]  4 Li 2.91
4 Te 0.5000 0.5000 0.7622 [1 per cell]  1 Li 2.77

---

Please write out number 2 again, unchanged.
VASP calculation (GGA-PBE) on crystalline K2LiTe at its relaxed geometry.

The calculation puts the density at 2438 kg/m3. The value obtained for the volume is 36.22 Å³ per atom. The value obtained for the uncorrected formation energy is -1.777 eV per formula unit. Its density of states at the Fermi level is 2.1 states/eV/f.u.

a = 5.2032 Å, b = 5.2032 Å, c = 10.7031 Å
α = 90.00°, β = 90.00°, γ = 90.00°
With the nearest neighbours (Å) after each atom.
Space group I-4m2 (No. 119)
Inequivalent atoms, fractional coordinates:
1 K 0.0000 0.0000 0.0000 [2 per cell]  4 Te 3.68, 4 Li 3.73, 4 K 3.73
2 K 0.0000 0.5000 0.2500 [2 per cell]  4 Li 3.68, 4 K 3.73, 4 Te 3.73
3 Li 0.0000 0.5000 0.7500 [2 per cell]  8 K 3.68-3.73, 4 Te 3.73
4 Te 0.0000 0.0000 0.5000 [2 per cell]  8 K 3.68-3.73, 4 Li 3.73